A relaxed structure of Ho4Er5Tm4. Source: the Alexandria database, functional GGA-PBE.

Cell and atoms, written as CIF:
```
data_Ho4Er5Tm4
_space_group_name_H-M_alt 'I 4/m'
_space_group_IT_number 87
_space_group_name_Hall '-I 4'
_cell_length_a 12.609
_cell_length_b 12.609
_cell_length_c 4.945
_cell_angle_alpha 90.00
_cell_angle_beta 90.00
_cell_angle_gamma 90.00
loop_
_atom_site_label
_atom_site_fract_x
_atom_site_fract_y
_atom_site_fract_z
Ho1 0.154 0.769 0.000
Er1 0.000 0.000 0.000
Er2 0.038 0.193 0.500
Tm1 0.077 0.385 0.000
```

Computed properties:
Energy of formation: 0.023 eV/atom
Total moment: 0.00 μB per formula unit
Mass density: 9.17 g cm⁻³